Compound: LiVP2O8
Source: the Alexandria database
Functional: PBE with a Hubbard U
Structure: optimized geometry

magnetic moment = 0.0 μB per formula unit
symmetry = I-4m2 (119)
E_tot = -6.900 eV/atom

abc: 5.3242 5.3242 5.3242
angles: 106.37 106.37 115.87
Element x y z (fractional)
1 O 0.3340 0.5273 0.1933
2 O 0.4727 0.6660 0.8067
3 O 0.9330 0.2523 0.3193
4 O 0.7477 0.0670 0.6807
5 O 0.3862 0.0670 0.3193
6 O 0.8593 0.6660 0.1933
7 O 0.9330 0.6138 0.6807
8 O 0.3340 0.1407 0.8067
9 V 0.2500 0.7500 0.5000
10 P 0.5000 0.5000 0.0000
11 P 0.7500 0.2500 0.5000
12 Li 0.0000 0.0000 0.0000